--- A ---
MnBeV | PBE-GGA | optimized geometry

a = 3.938 Å, b = 3.938 Å, c = 2.414 Å
α = 90.00°, β = 90.00°, γ = 120.00°
Fractional positions:
Mn  0.000  0.000  0.000
Be  0.667  0.333  0.666
V  0.333  0.667  0.282

Properties
Spin magnetization   0.000 μB/atom

--- B ---
MnBeV | PBE-GGA | optimized geometry

a = 3.250 Å, b = 3.250 Å, c = 6.274 Å
α = 90.00°, β = 90.00°, γ = 90.00°
Fractional positions:
Mn  0.250  0.250  0.229
Mn  0.750  0.750  0.771
Be  0.250  0.750  0.500
Be  0.750  0.250  0.500
V  0.250  0.250  0.836
V  0.750  0.750  0.164

Properties
Spin magnetization   0.000 μB/atom

--- C ---
MnBeV | PBE-GGA | optimized geometry

a = 4.290 Å, b = 4.290 Å, c = 4.290 Å
α = 140.07°, β = 140.07°, γ = 57.75°
Fractional positions:
Mn  0.000  0.000  0.000
Be  0.658  0.658  0.000
V  0.333  0.333  0.000

Properties
Spin magnetization   0.000 μB/atom

Most stable of them? C.

--- A ---
Mn3BeV | PBE-GGA | optimized geometry

a = 4.318 Å, b = 4.318 Å, c = 4.318 Å
α = 90.00°, β = 90.00°, γ = 90.00°
Fractional positions:
Mn  0.000  0.000  0.500
Mn  0.000  0.500  0.000
Mn  0.500  0.000  0.000
Be  0.500  0.500  0.500
V  0.000  0.000  0.000

Properties
Spin magnetization   1.384 μB/atom

--- B ---
Mn3BeV | PBE-GGA | optimized geometry

a = 3.981 Å, b = 3.981 Å, c = 3.981 Å
α = 90.00°, β = 90.00°, γ = 90.00°
Fractional positions:
Mn  0.000  0.000  0.500
Mn  0.000  0.500  0.000
Mn  0.500  0.000  0.000
Be  0.000  0.000  0.000
V  0.500  0.500  0.500

Properties
Spin magnetization   1.092 μB/atom

Most stable of them? B.

--- A ---
Mn3BeW | PBE-GGA | optimized geometry

a = 3.880 Å, b = 3.880 Å, c = 3.880 Å
α = 90.00°, β = 90.00°, γ = 90.00°
Fractional positions:
Mn  0.000  0.000  0.500
Mn  0.000  0.500  0.000
Mn  0.500  0.000  0.000
Be  0.000  0.000  0.000
W  0.500  0.500  0.500

Properties
Spin magnetization   0.529 μB/atom

--- B ---
Mn3BeW | PBE-GGA | optimized geometry

a = 4.548 Å, b = 4.548 Å, c = 4.548 Å
α = 90.00°, β = 90.00°, γ = 90.00°
Fractional positions:
Mn  0.000  0.000  0.500
Mn  0.000  0.500  0.000
Mn  0.500  0.000  0.000
Be  0.500  0.500  0.500
W  0.000  0.000  0.000

Properties
Spin magnetization   1.388 μB/atom

Most stable of them? A.

--- A ---
MnBeZn | PBE-GGA | optimized geometry

a = 3.917 Å, b = 3.917 Å, c = 2.637 Å
α = 90.00°, β = 90.00°, γ = 120.00°
Fractional positions:
Mn  0.000  0.000  0.000
Be  0.667  0.333  0.500
Zn  0.333  0.667  0.500

Properties
Spin magnetization   0.878 μB/atom

--- B ---
MnBeZn | PBE-GGA | optimized geometry

a = 6.614 Å, b = 6.614 Å, c = 6.614 Å
α = 150.09°, β = 150.09°, γ = 42.81°
Fractional positions:
Mn  0.177  0.177  0.000
Mn  0.823  0.823  0.000
Be  0.361  0.361  0.000
Be  0.639  0.639  0.000
Zn  0.000  0.500  0.500
Zn  0.500  0.000  0.500

Properties
Spin magnetization   0.907 μB/atom

Most stable of them? A.

--- A ---
MnBeZn3 | PBE-GGA | optimized geometry

a = 4.237 Å, b = 4.237 Å, c = 4.237 Å
α = 90.00°, β = 90.00°, γ = 90.00°
Fractional positions:
Mn  0.000  0.000  0.000
Be  0.500  0.500  0.500
Zn  0.000  0.500  0.500
Zn  0.500  0.000  0.500
Zn  0.500  0.500  0.000

Properties
Spin magnetization   0.821 μB/atom

--- B ---
MnBeZn3 | PBE-GGA | optimized geometry

a = 4.689 Å, b = 4.689 Å, c = 4.689 Å
α = 90.00°, β = 90.00°, γ = 90.00°
Fractional positions:
Mn  0.000  0.000  0.000
Be  0.500  0.500  0.500
Zn  0.000  0.000  0.500
Zn  0.000  0.500  0.000
Zn  0.500  0.000  0.000

Properties
Spin magnetization   0.592 μB/atom

Most stable of them? A.

--- A ---
Mn2Be2Zn | PBE-GGA | optimized geometry

a = 6.184 Å, b = 6.184 Å, c = 2.794 Å
α = 90.00°, β = 90.00°, γ = 90.00°
Fractional positions:
Mn  0.174  0.326  0.000
Mn  0.326  0.826  0.000
Mn  0.674  0.174  0.000
Mn  0.826  0.674  0.000
Be  0.120  0.620  0.500
Be  0.380  0.120  0.500
Be  0.620  0.880  0.500
Be  0.880  0.380  0.500
Zn  0.000  0.000  0.500
Zn  0.500  0.500  0.500

Properties
Spin magnetization   0.911 μB/atom

--- B ---
Mn2Be2Zn | PBE-GGA | optimized geometry

a = 6.298 Å, b = 6.298 Å, c = 2.731 Å
α = 90.00°, β = 90.00°, γ = 90.00°
Fractional positions:
Mn  0.113  0.387  0.000
Mn  0.387  0.887  0.000
Mn  0.613  0.113  0.000
Mn  0.887  0.613  0.000
Be  0.179  0.679  0.500
Be  0.321  0.179  0.500
Be  0.679  0.821  0.500
Be  0.821  0.321  0.500
Zn  0.000  0.000  0.000
Zn  0.500  0.500  0.000

Properties
Spin magnetization   0.000 μB/atom

--- C ---
Mn2Be2Zn | PBE-GGA | optimized geometry

a = 5.398 Å, b = 5.398 Å, c = 5.398 Å
α = 141.42°, β = 141.42°, γ = 55.71°
Fractional positions:
Mn  0.250  0.750  0.500
Mn  0.750  0.250  0.500
Be  0.105  0.105  0.000
Be  0.895  0.895  0.000
Zn  0.500  0.500  0.000

Properties
Spin magnetization   1.043 μB/atom

--- D ---
Mn2Be2Zn | PBE-GGA | optimized geometry

a = 7.614 Å, b = 7.614 Å, c = 7.614 Å
α = 158.76°, β = 158.76°, γ = 30.21°
Fractional positions:
Mn  0.117  0.117  0.000
Mn  0.883  0.883  0.000
Be  0.250  0.750  0.500
Be  0.750  0.250  0.500
Zn  0.500  0.500  0.000

Properties
Spin magnetization   1.092 μB/atom

Most stable of them? A.